Compound: Th8Te3POs3
Source: the Alexandria database
Functional: PBE-GGA
Structure: relaxed

For the total energy, the calculation gives -119.3 eV for the cell shown. For the raw formation energy, the calculation gives -1098 kJ/mol of formula units. The density of states at the Fermi level is 13.296 states/eV/cell. For the magnetic moment, the calculation gives 0.00 μB/f.u.

a = 8.473 Å, b = 8.473 Å, c = 8.874 Å
α = 118.47°, β = 118.47°, γ = 60.02°
Positions (direct):
Th: 0.222 0.742 0.706
Th: 0.234 0.234 0.702
Th: 0.258 0.258 0.294
Th: 0.258 0.778 0.294
Th: 0.742 0.222 0.706
Th: 0.742 0.742 0.706
Th: 0.766 0.766 0.298
Th: 0.778 0.258 0.294
Te: 0.000 0.500 0.000
Te: 0.500 0.000 0.000
Te: 0.500 0.500 0.000
P: 0.500 0.500 0.500
Os: 0.000 0.000 0.500
Os: 0.000 0.500 0.500
Os: 0.500 0.000 0.500